Record 1
Entry from OQMD via LeMat-Bulk: a relaxed Sr2NiH6Pb crystal (PBE-GGA).

Total moment   0.00 μB/f.u.
Electronic total energy   -3.48 eV per atom

The structure in POSCAR format:
```
Sr2NiH6Pb
1.0
0.000 4.016 4.016
4.016 0.000 4.016
4.016 4.016 0.000
Sr Ni H Pb
2 1 6 1
Cartesian
2.008 2.008 2.008
6.025 6.025 6.025
0.000 0.000 0.000
4.016 4.016 1.599
4.016 1.599 4.016
6.434 4.016 4.016
1.599 4.016 4.016
4.016 6.434 4.016
4.016 4.016 6.434
4.016 4.016 4.016
```

---

Record 2
Entry from OQMD via LeMat-Bulk: a relaxed YAgTe3Pb crystal (PBE-GGA).

Total moment   0.01 μB/f.u.
Electronic total energy   -4.48 eV per atom
Excess energy over the best structure of this formula in the dataset   0.000 eV/atom

The structure in POSCAR format:
```
YAgTe3Pb
1.0
14.669 0.000 0.000
0.000 4.352 0.000
0.000 0.000 11.667
Y Ag Te Pb
4 4 12 4
Cartesian
0.141 1.088 2.045
7.193 3.264 7.878
7.476 1.088 3.788
14.528 3.264 9.622
0.117 3.264 4.816
7.217 1.088 10.650
7.452 3.264 1.017
14.552 1.088 6.850
1.616 1.088 10.971
1.782 3.264 7.250
2.190 3.264 2.871
5.144 1.088 8.704
5.553 1.088 1.416
5.719 3.264 5.138
8.950 1.088 6.529
9.116 3.264 10.250
9.525 3.264 2.962
12.479 1.088 8.796
12.887 1.088 4.417
13.054 3.264 0.696
3.215 1.088 5.206
4.120 3.264 11.039
10.549 1.088 0.628
11.454 3.264 6.461
```